[1]
A geometry-optimized Tm6NiIr structure. Source: Alexandria via LeMat-Bulk, functional PBE.

Lattice parameters (Å, degrees): 6.3685 6.3685 6.5822 99.86 99.86 117.66
Atoms (fractional coordinates):
Tm 0.0706 0.4136 0.2475
Tm 0.2507 0.2507 0.7561
Tm 0.4136 0.0706 0.2475
Tm 0.5864 0.9294 0.7525
Tm 0.7493 0.7493 0.2439
Tm 0.9294 0.5864 0.7525
Ni 0.0000 0.0000 0.0000
Ir 0.5000 0.5000 0.5000

Summary:
The calculation puts the spin magnetization at 0.0 μB per formula unit. As for the density of states at the Fermi level: 0.898 states/eV/atom. The crystal system is monoclinic. The value obtained for the formation energy is -0.307 eV/atom. As for the raw total energy: -5.49 eV/atom.



[2]
A geometry-optimized TbNdGe2Pt5 structure. Source: Alexandria via LeMat-Bulk, functional PBE.

Lattice parameters (Å, degrees): 4.3198 4.3198 9.0453 90.00 90.00 90.00
Atoms (fractional coordinates):
Tb 0.0000 0.0000 0.0000
Nd 0.0000 0.0000 0.5000
Ge 0.5000 0.5000 0.1349
Ge 0.5000 0.5000 0.8651
Pt 0.0000 0.5000 0.2682
Pt 0.0000 0.5000 0.7318
Pt 0.5000 0.0000 0.2682
Pt 0.5000 0.0000 0.7318
Pt 0.5000 0.5000 0.5000

Summary:
The calculation puts the spin magnetization at 0.0 μB per formula unit. As for the density of states at the Fermi level: 0.360 states/eV/atom. The crystal system is tetragonal. The value obtained for the formation energy is -0.887 eV/atom. As for the raw total energy: -6.31 eV/atom.